The following is a PBE-GGA calculation of a geometry-optimized Ca3Tl2Hg2 structure, from the Alexandria database.

Structure (POSCAR):
```
Ca3Tl2Hg2
1.0
2.276 -11.916 0.000
2.276 11.916 0.000
0.000 0.000 3.683
Ca Tl Hg
3 2 2
Cartesian
0.000 0.000 0.000 Ca
2.276 8.167 0.000 Ca
2.276 -8.167 0.000 Ca
2.276 1.833 1.842 Tl
2.276 -1.833 1.842 Tl
2.276 5.074 1.842 Hg
2.276 -5.074 1.842 Hg
```

**Space-group type**: Cmmm
**Total magnetic moment**: 0.0000 μB per atom
**E_form**: -0.413 eV per atom
**VASP energy**: -14.2 eV for the cell shown